# Tl2ZnRh (PBE, relaxed)
data_Tl2ZnRh
_chemical_formula_sum 'Tl8 Zn4 Rh4'
_space_group_name_H-M_alt 'F m -3 m'
_space_group_IT_number 225
_space_group_name_Hall '-F 4 2 3'
_cell_length_a 6.842
_cell_length_b 6.842
_cell_length_c 6.842
_cell_angle_alpha 90.00
_cell_angle_beta 90.00
_cell_angle_gamma 90.00
loop_
_atom_site_label
_atom_site_type_symbol
_atom_site_fract_x
_atom_site_fract_y
_atom_site_fract_z
Tl1 Tl 0.250 0.250 0.250
Zn1 Zn 0.000 0.000 0.000
Rh1 Rh 0.000 0.000 0.500
# ΔE to the lowest computed polymorph: 5.79 kcal/mol of atoms
# Density: 11.966 g/cm³
# DOS at the Fermi energy: 6.39 states/eV per cell
# Formation energy from the elements: 1.1 eV per formula unit
# Final energy: -12.29 eV/f.u.